(1)
# Ba2TaMnO6 GGA-PBEsol optimized geometry
data_Ba2TaMnO6
_space_group_name_H-M_alt 'P n m a'
_space_group_IT_number 62
_cell_length_a 11.5722
_cell_length_b 7.8980
_cell_length_c 5.8067
_cell_angle_alpha 90.00
_cell_angle_beta 90.00
_cell_angle_gamma 90.00
loop_
_space_group_symop_operation_xyz
'x,y,z'
'-x,-y,-z'
'-x+1/2,-y,z+1/2'
'x+1/2,y,-z+1/2'
'x+1/2,-y+1/2,-z+1/2'
'-x+1/2,y+1/2,z+1/2'
'-x,y+1/2,-z'
'x,-y+1/2,z'
loop_
_atom_site_label
_atom_site_fract_x
_atom_site_fract_y
_atom_site_fract_z
_atom_site_occupancy
Ba1 0.1247 0.0005 0.2325 1
Ta1 0.1255 0.2500 0.7297 1
Mn1 0.1270 0.7500 0.7340 1
O1 0.0011 0.2500 0.4817 1
O2 0.0078 0.2500 0.9670 1
O3 0.1261 0.5042 0.7285 1
O4 0.2476 0.2500 0.9579 1
O5 0.2499 0.2500 0.4707 1
# formation energy without anion corrections: -2.695 eV per atom
# calculated total energy: -8.5055 eV/atom

=====

(2)
# Zr5Be GGA-PBEsol optimized geometry
data_Zr5Be
_space_group_name_H-M_alt 'P 4/m m m'
_space_group_IT_number 123
_space_group_name_Hall '-P 4 2'
_cell_length_a 3.1466
_cell_length_b 3.1466
_cell_length_c 12.0923
_cell_angle_alpha 90.00
_cell_angle_beta 90.00
_cell_angle_gamma 90.00
loop_
_atom_site_label
_atom_site_fract_x
_atom_site_fract_y
_atom_site_fract_z
_atom_site_occupancy
Zr1 0.0000 0.0000 0.0000 1
Zr2 0.0000 0.0000 0.3686 1
Zr3 0.5000 0.5000 0.1859 1
Be1 0.5000 0.5000 0.5000 1
# calculated total energy: -8.2295 eV/atom
# ΔE to the lowest computed polymorph: 0 meV per atom
# DOS at the Fermi energy: 6.767 states/eV/cell
# formation energy from the elements: 7 kJ/mol of formula units

=====

(3)
# TaTeAs2 GGA-PBEsol optimized geometry
data_TaTeAs2
_space_group_name_H-M_alt 'C m m 2'
_space_group_IT_number 35
_cell_length_a 3.5263
_cell_length_b 4.8355
_cell_length_c 9.6089
_cell_angle_alpha 90.00
_cell_angle_beta 90.00
_cell_angle_gamma 90.00
loop_
_space_group_symop_operation_xyz
'x,y,z'
'-x,-y,z'
'-x,y,z'
'x,-y,z'
'x+1/2,y+1/2,z'
'-x+1/2,-y+1/2,z'
'-x+1/2,y+1/2,z'
'x+1/2,-y+1/2,z'
loop_
_atom_site_label
_atom_site_fract_x
_atom_site_fract_y
_atom_site_fract_z
_atom_site_occupancy
Ta1 0.0000 0.0000 0.0000 1
Te1 0.0000 0.5000 0.2358 1
As1 0.0000 0.0000 0.5291 1
As2 0.0000 0.5000 0.7987 1
# formation energy without anion corrections: 0.275 eV per atom
# calculated total energy: -6.2972 eV/atom
# DOS at the Fermi energy: 5.580 states/eV/cell

=====

(4)
# ScAl2Tc GGA-PBEsol optimized geometry
data_ScAl2Tc
_space_group_name_H-M_alt 'R -3 m'
_space_group_IT_number 166
_space_group_name_Hall '-R 3 2"'
_cell_length_a 2.9483
_cell_length_b 2.9483
_cell_length_c 26.8283
_cell_angle_alpha 90.00
_cell_angle_beta 90.00
_cell_angle_gamma 120.00
loop_
_atom_site_label
_atom_site_fract_x
_atom_site_fract_y
_atom_site_fract_z
_atom_site_occupancy
Sc1 0.0000 0.0000 0.0000 1
Al1 0.0000 0.0000 0.2398 1
Tc1 0.0000 0.0000 0.5000 1
# calculated total energy: -6.6116 eV/atom
# ΔE to the lowest computed polymorph: 289 meV per atom
# DOS at the Fermi energy: 8.368 states/eV/cell
# formation energy from the elements: -38 kJ/mol of formula units

=====

(5)
# ZnSi2Ag GGA-PBEsol optimized geometry
data_ZnSi2Ag
_space_group_name_H-M_alt 'I m m m'
_space_group_IT_number 71
_space_group_name_Hall '-I 2 2'
_cell_length_a 2.6672
_cell_length_b 4.7807
_cell_length_c 9.6439
_cell_angle_alpha 90.00
_cell_angle_beta 90.00
_cell_angle_gamma 90.00
loop_
_atom_site_label
_atom_site_fract_x
_atom_site_fract_y
_atom_site_fract_z
_atom_site_occupancy
Zn1 0.0000 0.0000 0.0000 1
Si1 0.0000 0.5000 0.2516 1
Ag1 0.0000 0.0000 0.5000 1
# formation energy without anion corrections: 0.283 eV per atom
# calculated total energy: -3.8135 eV/atom
# DOS at the Fermi energy: 2.998 states/eV/cell

=====

(6)
# MgCoSe2 GGA-PBEsol optimized geometry
data_MgCoSe2
_space_group_name_H-M_alt 'R -3 m'
_space_group_IT_number 166
_space_group_name_Hall '-R 3 2"'
_cell_length_a 3.6367
_cell_length_b 3.6367
_cell_length_c 17.8571
_cell_angle_alpha 90.00
_cell_angle_beta 90.00
_cell_angle_gamma 120.00
loop_
_atom_site_label
_atom_site_fract_x
_atom_site_fract_y
_atom_site_fract_z
_atom_site_occupancy
Mg1 0.0000 0.0000 0.0000 1
Co1 0.0000 0.0000 0.5000 1
Se1 0.0000 0.0000 0.2356 1
# formation energy without anion corrections: -0.521 eV per atom
# calculated total energy: -4.8101 eV/atom
# ΔE to the lowest computed polymorph: 0 meV per atom
# DOS at the Fermi energy: 6.754 states/eV/cell

=====

(7)
# V2InC GGA-PBEsol optimized geometry
data_V2InC
_space_group_name_H-M_alt 'P 63/m m c'
_space_group_IT_number 194
_space_group_name_Hall '-P 6c 2c'
_cell_length_a 2.9860
_cell_length_b 2.9860
_cell_length_c 13.4462
_cell_angle_alpha 90.00
_cell_angle_beta 90.00
_cell_angle_gamma 120.00
loop_
_atom_site_label
_atom_site_fract_x
_atom_site_fract_y
_atom_site_fract_z
_atom_site_occupancy
V1 0.3333 0.6667 0.0779 1
In1 0.3333 0.6667 0.7500 1
C1 0.0000 0.0000 0.0000 1
# calculated total energy: -8.4042 eV/atom
# DOS at the Fermi energy: 4.731 states/eV/cell
# formation energy from the elements: -166 kJ/mol of formula units

=====

(8)
# Li2InRh GGA-PBEsol optimized geometry
data_Li2InRh
_space_group_name_H-M_alt 'P 4/m m m'
_space_group_IT_number 123
_space_group_name_Hall '-P 4 2'
_cell_length_a 3.8092
_cell_length_b 3.8092
_cell_length_c 4.1838
_cell_angle_alpha 90.00
_cell_angle_beta 90.00
_cell_angle_gamma 90.00
loop_
_atom_site_label
_atom_site_fract_x
_atom_site_fract_y
_atom_site_fract_z
_atom_site_occupancy
Li1 0.0000 0.5000 0.0000 1
In1 0.0000 0.0000 0.5000 1
Rh1 0.5000 0.5000 0.5000 1
# calculated total energy: -4.0570 eV/atom
# DOS at the Fermi energy: 1.594 states/eV/cell
# formation energy from the elements: -113 kJ/mol of formula units

=====

(9)
# CaAgBr2 GGA-PBEsol optimized geometry
data_CaAgBr2
_space_group_name_H-M_alt 'I -4 m 2'
_space_group_IT_number 119
_space_group_name_Hall 'I -4 -2'
_cell_length_a 4.1534
_cell_length_b 4.1534
_cell_length_c 11.0329
_cell_angle_alpha 90.00
_cell_angle_beta 90.00
_cell_angle_gamma 90.00
loop_
_atom_site_label
_atom_site_fract_x
_atom_site_fract_y
_atom_site_fract_z
_atom_site_occupancy
Ca1 0.0000 0.0000 0.0000 1
Ag1 0.0000 0.5000 0.2500 1
Br1 0.0000 0.0000 0.5000 1
Br2 0.0000 0.5000 0.7500 1
# formation energy without anion corrections: -0.869 eV per atom
# calculated total energy: -3.1652 eV/atom
# DOS at the Fermi energy: 2.259 states/eV/cell

=====

(10)
# MgGa2Pb GGA-PBEsol optimized geometry
data_MgGa2Pb
_space_group_name_H-M_alt 'F m -3 m'
_space_group_IT_number 225
_space_group_name_Hall '-F 4 2 3'
_cell_length_a 7.0988
_cell_length_b 7.0988
_cell_length_c 7.0988
_cell_angle_alpha 90.00
_cell_angle_beta 90.00
_cell_angle_gamma 90.00
loop_
_atom_site_label
_atom_site_fract_x
_atom_site_fract_y
_atom_site_fract_z
_atom_site_occupancy
Mg1 0.0000 0.0000 0.0000 1
Ga1 0.2500 0.2500 0.2500 1
Pb1 0.0000 0.0000 0.5000 1
# calculated total energy: -3.0694 eV/atom
# DOS at the Fermi energy: 5.148 states/eV/cell
# formation energy from the elements: 11 kJ/mol of formula units

=====

(11)
# Ir3SO GGA-PBEsol optimized geometry
data_Ir3SO
_space_group_name_H-M_alt 'P m -3 m'
_space_group_IT_number 221
_space_group_name_Hall '-P 4 2 3'
_cell_length_a 4.3238
_cell_length_b 4.3238
_cell_length_c 4.3238
_cell_angle_alpha 90.00
_cell_angle_beta 90.00
_cell_angle_gamma 90.00
loop_
_atom_site_label
_atom_site_fract_x
_atom_site_fract_y
_atom_site_fract_z
_atom_site_occupancy
Ir1 0.0000 0.0000 0.5000 1
S1 0.0000 0.0000 0.0000 1
O1 0.5000 0.5000 0.5000 1
# formation energy without anion corrections: 1.575 eV per atom
# calculated total energy: -6.2454 eV/atom
# DOS at the Fermi energy: 6.536 states/eV/cell

=====

Look up the calculated total energy of the sixth one. -4.8101 eV/atom